# CsBiMoO2 | the Alexandria database | PBE with a Hubbard U | relaxed
# Fermi-level density of states in states/eV/f.u.: 2.364
# Raw total energy in eV/atom: -4.57
data_CsBiMoO2
_chemical_formula_sum 'Cs1 Bi1 Mo1 O2'
_space_group_name_H-M_alt 'P 4/m m m'
_space_group_IT_number 123
_space_group_name_Hall '-P 4 2'
_cell_length_a 4.349
_cell_length_b 4.349
_cell_length_c 5.724
_cell_angle_alpha 90.00
_cell_angle_beta 90.00
_cell_angle_gamma 90.00
loop_
_atom_site_label
_atom_site_type_symbol
_atom_site_fract_x
_atom_site_fract_y
_atom_site_fract_z
_atom_site_occupancy
Cs1 Cs 0.000 0.000 0.000 1
Bi1 Bi 0.500 0.500 0.000 1
Mo1 Mo 0.500 0.500 0.500 1
O1 O 0.000 0.500 0.500 1